Density functional theory data (PBE-GGA) for a geometry-optimized HfAg3N structure.

Summary:
- ΔE to the lowest computed polymorph (meV/atom) = 1560.0
- E_form (uncorrected) (meV/atom) = 2443

a b c (Å): 5.2451 5.2451 5.2451
angles (deg): 90.00 90.00 90.00
Closest atoms and distances in Å follow each position.
Space group Pm-3m (No. 221)
Symmetry-distinct sites (fractional):
1 Hf 0.0000 0.0000 0.0000 (multiplicity 1)  6 Ag 2.62
2 Ag 0.0000 0.0000 0.5000 (multiplicity 3)  2 Hf 2.62
3 N 0.5000 0.5000 0.5000 (multiplicity 1)  12 Ag 3.71

***

Density functional theory data (PBE-GGA) for a geometry-optimized Na6InHg structure.

Summary:
- formation energy (meV per atom) = -90

a b c (Å): 6.1826 6.1923 6.1980
angles (deg): 90.23 90.62 90.60
Closest atoms and distances in Å follow each position.
Space group P-1 (No. 2)
Symmetry-distinct sites (fractional):
1 Na 0.0012 0.0003 0.2481 (multiplicity 2)  2 Na 3.08-3.12, 1 Hg 3.44
2 Na 0.2484 0.5018 0.5021 (multiplicity 2)  2 Na 3.07-3.11
3 Na 0.4978 0.2512 0.0017 (multiplicity 2)  2 Na 3.08-3.11
4 In 0.0000 0.5000 0.0000 (multiplicity 1)  12 Na 3.45-3.46
5 Hg 0.5000 0.0000 0.5000 (multiplicity 1)  12 Na 3.44-3.49

***

Density functional theory data (PBE-GGA) for a geometry-optimized AcPr2Mg2Sn2 structure.

Summary:
- formation energy (meV per atom) = -378

a b c (Å): 5.0594 5.0594 28.6665
angles (deg): 90.00 90.00 120.00
Closest atoms and distances in Å follow each position.
Space group R-3m (No. 166, hexagonal axes)
Symmetry-distinct sites (fractional):
1 Ac 0.0000 0.0000 0.0000 (multiplicity 3)  6 Sn 3.59, 6 Mg 3.73, 2 Pr 3.81
2 Pr 0.0000 0.0000 0.1328 (multiplicity 6)  3 Mg 3.28, 4 Sn 3.39-3.66, 3 Pr 3.51
3 Mg 0.0000 0.0000 0.4142 (multiplicity 6)  3 Sn 2.93, 3 Pr 3.28
4 Sn 0.0000 0.0000 0.2606 (multiplicity 6)  3 Mg 2.93

***

Density functional theory data (PBE-GGA) for a geometry-optimized AgBIr structure.

Summary:
- ΔE to the lowest computed polymorph (meV/atom) = 0.0
- formation energy (meV per atom) = -2

a b c (Å): 5.6624 5.6325 5.9994
angles (deg): 90.00 117.72 90.00
Closest atoms and distances in Å follow each position.
Space group C2/m (No. 12)
Symmetry-distinct sites (fractional):
1 Ag 0.2465 0.0000 0.4982 (multiplicity 4)  2 B 2.34-2.35
2 B 0.1778 0.0000 0.8543 (multiplicity 4)  4 Ir 2.14, 2 Ag 2.34-2.35
3 Ir 0.0000 0.2502 0.0000 (multiplicity 4)  4 B 2.14

***

Density functional theory data (PBE-GGA) for a geometry-optimized CdBi2Sb2 structure.

Summary:
- ΔE to the lowest computed polymorph (meV/atom) = 0.0
- E_form (uncorrected) (meV/atom) = 84

a b c (Å): 4.6691 5.5122 6.6737
angles (deg): 113.84 105.21 90.42
Closest atoms and distances in Å follow each position.
Space group P-1 (No. 2)
Symmetry-distinct sites (fractional):
1 Cd 0.0000 0.0000 0.0000 (multiplicity 1)  2 Sb 3.04, 4 Bi 3.20-3.25
2 Bi 0.1753 0.3968 0.7974 (multiplicity 2)  3 Sb 3.15-3.32, 2 Cd 3.20-3.25, 2 Bi 3.31-3.34
3 Sb 0.4193 0.8034 0.6107 (multiplicity 2)  1 Cd 3.04, 3 Bi 3.15-3.32, 2 Sb 3.25-3.26

***

Density functional theory data (PBE-GGA) for a geometry-optimized HgPd3Se structure.

Summary:
- ΔE to the lowest computed polymorph (meV/atom) = 68.5
- E_form (uncorrected) (meV/atom) = -126

a b c (Å): 5.5851 5.7840 6.5242
angles (deg): 85.73 73.17 65.65
Closest atoms and distances in Å follow each position.
Space group P1 (No. 1)
Symmetry-distinct sites (fractional):
1 Hg 0.0000 0.0000 0.0000 (multiplicity 1)  7 Pd 2.80-3.06
2 Hg 0.0974 0.2910 0.4715 (multiplicity 1)  5 Pd 2.80-2.92
3 Pd 0.1424 0.7272 0.6151 (multiplicity 1)  2 Se 2.52-2.59, 2 Pd 2.80-2.82, 1 Hg 2.80
4 Pd 0.4028 0.5304 0.1574 (multiplicity 1)  2 Se 2.49-2.59
5 Pd 0.4541 0.0310 0.0828 (multiplicity 1)  2 Se 2.46-2.51
6 Pd 0.6411 0.6752 0.7392 (multiplicity 1)  2 Se 2.54-2.55, 1 Hg 2.80, 3 Pd 2.81-2.84
7 Pd 0.7345 0.0704 0.4428 (multiplicity 1)  2 Se 2.55-2.59, 1 Pd 2.80, 1 Hg 2.81
8 Pd 0.9580 0.5042 0.0338 (multiplicity 1)  2 Se 2.50-2.54
9 Se 0.4390 0.3452 0.7940 (multiplicity 1)  6 Pd 2.50-2.59
10 Se 0.5759 0.7393 0.3663 (multiplicity 1)  6 Pd 2.46-2.55

***

Density functional theory data (PBE-GGA) for a geometry-optimized FeTcPtRh2 structure.

Summary:
- formation energy (meV per atom) = 2170

a b c (Å): 4.7708 4.7708 4.6147
angles (deg): 90.00 90.00 90.00
Closest atoms and distances in Å follow each position.
Space group P4/mmm (No. 123)
Symmetry-distinct sites (fractional):
1 Fe 0.0000 0.0000 0.0000 (multiplicity 1)  8 Rh 3.32, 4 Tc 3.37
2 Tc 0.5000 0.5000 0.0000 (multiplicity 1)  2 Pt 2.31
3 Pt 0.5000 0.5000 0.5000 (multiplicity 1)  2 Tc 2.31, 4 Rh 2.39
4 Rh 0.0000 0.5000 0.5000 (multiplicity 2)  2 Pt 2.39

***

Density functional theory data (PBE-GGA) for a geometry-optimized CoTeSeN2 structure.

Summary:
- ΔE to the lowest computed polymorph (meV/atom) = 558.3
- E_form (uncorrected) (meV/atom) = 1676

a b c (Å): 3.7256 3.7256 7.0582
angles (deg): 90.00 90.00 90.00
Closest atoms and distances in Å follow each position.
Space group P4/mmm (No. 123)
Symmetry-distinct sites (fractional):
1 Co 0.0000 0.0000 0.0000 (multiplicity 1)  4 Te 2.63
2 Te 0.5000 0.5000 0.0000 (multiplicity 1)  4 Co 2.63
3 Se 0.5000 0.5000 0.5000 (multiplicity 1)  4 N 1.86
4 N 0.0000 0.5000 0.5000 (multiplicity 2)  2 Se 1.86

***

E values, unit eV/atom, following the record order: -2.9235 -1.4596 -3.9300 -6.1321 -3.3002 -3.9992 -5.7443 -4.4003.